The following is a meta-GGA SCAN calculation of KSrSeBr2 at its PBEsol-relaxed geometry, from the Alexandria database.

a = 5.643 Å, b = 5.643 Å, c = 5.672 Å
α = 90.00°, β = 90.00°, γ = 90.00°
Space group P4/mmm (No. 123)
Asymmetric unit:
K (0.000, 0.000, 0.000) x1
Sr (0.500, 0.500, 0.500) x1
Se (0.000, 0.000, 0.500) x1
Br (0.000, 0.500, 0.000) x2

crystal system = tetragonal
electronic total energy = -19.027 eV per atom
D(E_F) = 0.318 states/eV/atom